Record 1
# Ca2TaAu (PBE, optimized geometry)
data_Ca2TaAu
_chemical_formula_sum 'Ca4 Ta2 Au2'
_symmetry_space_group_name_H-M 'I m m 2'
_symmetry_Int_Tables_number 44
_cell_length_a 3.298
_cell_length_b 5.365
_cell_length_c 11.469
_cell_angle_alpha 90.00
_cell_angle_beta 90.00
_cell_angle_gamma 90.00
loop_
_symmetry_equiv_pos_as_xyz
'x,y,z'
'-x,-y,z'
'-x,y,z'
'x,-y,z'
'x+1/2,y+1/2,z+1/2'
'-x+1/2,-y+1/2,z+1/2'
'-x+1/2,y+1/2,z+1/2'
'x+1/2,-y+1/2,z+1/2'
loop_
_atom_site_label
_atom_site_fract_x
_atom_site_fract_y
_atom_site_fract_z
Ca1 0.000 0.000 0.000
Ca2 0.000 0.500 0.204
Ta1 0.000 0.500 0.779
Au1 0.000 0.000 0.469
# ΔE to the lowest computed polymorph: 7.73 kJ per mole of atoms
# formation energy from the elements: 207 meV/atom

Record 2
# BeCdO2F (PBE, optimized geometry)
data_BeCdO2F
_chemical_formula_sum 'Be1 Cd1 O2 F1'
_symmetry_space_group_name_H-M 'P 4/m m m'
_symmetry_Int_Tables_number 123
_symmetry_space_group_name_Hall '-P 4 2'
_cell_length_a 4.154
_cell_length_b 4.154
_cell_length_c 4.171
_cell_angle_alpha 90.00
_cell_angle_beta 90.00
_cell_angle_gamma 90.00
loop_
_atom_site_label
_atom_site_fract_x
_atom_site_fract_y
_atom_site_fract_z
Be1 0.000 0.000 0.000
Cd1 0.500 0.500 0.500
O1 0.000 0.500 0.500
F1 0.500 0.500 0.000
# formation energy without anion corrections: 0.0117 eV/atom

Record 3
# HoHf2Sc4 (PBE, optimized geometry)
data_HoHf2Sc4
_chemical_formula_sum 'Ho3 Hf6 Sc12'
_symmetry_space_group_name_H-M 'R -3 m'
_symmetry_Int_Tables_number 166
_symmetry_space_group_name_Hall '-R 3 2"'
_cell_length_a 3.2810
_cell_length_b 3.2810
_cell_length_c 55.2206
_cell_angle_alpha 90.00
_cell_angle_beta 90.00
_cell_angle_gamma 120.00
loop_
_atom_site_label
_atom_site_fract_x
_atom_site_fract_y
_atom_site_fract_z
Ho1 0.0000 0.0000 0.0000
Hf1 0.0000 0.0000 0.1885
Sc1 0.0000 0.0000 0.0980
Sc2 0.0000 0.0000 0.3834
# formation energy from the elements: 40 meV/atom

| no. | uncorrected energy (eV per atom) |
| --- | --- |
| 1 | -4.577 |
| 2 | -3.274 |
| 3 | -7.076 |